DFT (PBE with a Hubbard U) results for an optimized crystal structure of Li2VO2F.

abc: 2.965 9.019 4.151
angles: 90.00 90.00 90.00
Last column: magnetic moment on the atom in μB.
Element x y z (fractional)
Li: 0.000 0.645 0.997  0.00
F: 0.000 0.338 0.502  0.00
F: 0.500 0.495 0.002  0.00
Li: 0.500 0.500 0.503  0.00
O: 0.000 0.671 0.501  0.00
O: 0.000 0.983 0.499  -0.01
Li: 0.000 0.333 0.003  0.00
O: 0.500 0.850 0.999  -0.01
V: 0.000 0.014 0.999  1.90
V: 0.500 0.820 0.499  1.90
Li: 0.500 0.189 0.497  0.00
O: 0.500 0.162 0.001  0.00

Distance to the lowest polymorph of the same formula   0.11 eV/f.u.
Magnetic moment   4.0 μB/cell